P:
Computed, not measured: an optimized crystal structure of Ge2MoBr at the PBE level of DFT.

Results
Magnetization: 0.0 μB per formula unit

a = 4.729 Å, b = 4.729 Å, c = 4.729 Å
α = 60.00°, β = 60.00°, γ = 60.00°
Positions (direct):
Mo: 0.500 0.500 0.500
Ge: 0.750 0.750 0.750
Ge: 0.250 0.250 0.250
Br: 0.000 0.000 0.000

---

Q:
Computed, not measured: an optimized crystal structure of Ge2MoBr at the PBE level of DFT.

Results
Magnetization: 0.0 μB per formula unit

a = 6.135 Å, b = 6.135 Å, c = 7.503 Å
α = 65.87°, β = 65.87°, γ = 90.00°
Positions (direct):
Ge: 0.055 0.625 0.250
Ge: 0.875 0.945 0.750
Ge: 0.695 0.125 0.250
Ge: 0.375 0.305 0.750
Br: 0.500 0.500 0.000
Br: 0.250 0.750 0.500
Mo: 0.750 0.250 0.500
Mo: 0.000 0.000 0.000

---

Name the most stable of them. Q.